#one
Entry from the Alexandria database: a geometry-optimized Pm2Pr3In4 structure (GGA-PBE).

```
9
Lattice="-1.8929 -2.7039 3.9999 3.5329 -3.6825 -4.1791 4.8243 6.3156 6.5522" Properties=species:S:1:pos:R:3 pbc="T T T"
In 6.1241 3.1051 4.9972
Pm 5.1425 0.8115 2.9822
Pr 3.1316 1.4972 5.8558
In 4.3775 -2.0574 4.0426
Pr 3.3326 -1.5680 0.5172
In 2.0867 1.9866 2.3304
Pm 1.3217 -0.8823 3.3909
In 0.3401 -3.1758 1.3759
Pr 0.0000 0.0000 0.0000
```

Results
Total moment   0.00 μB/f.u.
SG   C2/m, No. 12

#two
Entry from the Alexandria database: a geometry-optimized Pm2Pr3In4 structure (GGA-PBE).

```
9
Lattice="-2.4355 -4.7726 -1.0378 2.8054 -4.0350 -2.3795 2.9224 -3.5438 9.4373" Properties=species:S:1:pos:R:3 pbc="T T T"
In 4.7112 -6.3465 3.7775
In 2.8738 -9.0582 6.2095
Pr 1.9342 -7.9185 3.1733
Pm 2.4053 -5.7036 6.2326
Pr 0.0000 0.0000 0.0000
Pr 1.3582 -4.4328 2.8467
Pm 0.8870 -6.6477 -0.2126
In -1.4188 -6.0047 2.2424
In 0.4186 -3.2931 -0.1895
```

Results
Total moment   0.00 μB/f.u.
SG   C2/m, No. 12

Relative energies, meV/atom: #one 46; #two 0.

#one
Entry from the Alexandria database: a geometry-optimized Pm2Pr5In structure (GGA-PBE).

```
16
Lattice="-4.5611 -0.0965 -2.0908 2.8668 -2.7325 -6.1277 -2.0559 -13.6246 5.1137" Properties=species:S:1:pos:R:3 pbc="T T T"
Pm -1.8007 -2.3775 -1.9847
Pr 0.0000 0.0000 0.0000
Pm -0.9013 -7.2831 -3.7201
Pr 0.4055 -8.1785 -0.5070
Pm -2.8488 -9.1705 0.6153
Pr -2.3508 -5.8731 -0.6233
Pr -0.3909 -3.7497 -4.9968
Pr -3.3593 -12.7039 1.8921
Pr 2.3292 -6.2616 -4.7921
Pr -1.5183 -10.0955 3.7781
In 1.4334 -1.3662 -3.0638
In -1.0279 -6.8123 2.5569
Pm -1.9495 -14.0761 -1.1201
Pr -1.3994 -10.5805 -2.4815
Pr 0.9342 -4.6410 -1.8237
Pr -0.1233 -11.7161 0.8097
```

Results
Total moment   0.00 μB/f.u.
SG   Pbam, No. 55

#two
Entry from the Alexandria database: a geometry-optimized Pm2Pr5In structure (GGA-PBE).

```
8
Lattice="4.9702 0.0000 -0.9638 -0.1869 4.9667 -0.9638 -0.4334 -0.4500 11.0618" Properties=species:S:1:pos:R:3 pbc="T T T"
Pr 1.3894 4.0230 7.1647
Pm 3.3645 3.4935 4.0530
Pr 2.3916 2.4833 -0.9638
Pm 0.9854 1.0231 5.0812
Pr 2.9605 0.4936 1.9695
In 0.0000 0.0000 0.0000
Pr 0.3819 2.9769 1.9695
Pr 3.9679 1.5397 7.1647
```

Results
Total moment   0.00 μB/f.u.
SG   I4/mmm, No. 139

Relative energies, meV/atom: #one 24; #two 0.

#one
Entry from the Alexandria database: a geometry-optimized Pm3PrIn structure (GGA-PBE).

```
10
Lattice="-0.6606 -4.8802 0.4660 4.7190 -0.5107 1.3416 -3.6806 -0.8017 12.6417" Properties=species:S:1:pos:R:3 pbc="T T T"
In 1.9674 -3.9027 5.1955
Pr -0.0444 -1.2158 4.2273
Pm -1.0423 -3.3294 6.9329
Pm -0.3335 -5.3791 12.7272
Pm 0.2830 -3.9775 2.0242
Pm -2.3672 -2.6814 11.8400
Pm 2.9773 -1.7949 2.4454
In -2.0179 -5.4539 9.5559
Pm 1.6524 -1.1470 7.3525
Pr 0.6545 -3.2606 10.0581
```

Results
Total moment   0.00 μB/f.u.
SG   Cmcm, No. 63

#two
Entry from the Alexandria database: a geometry-optimized Pm3PrIn structure (GGA-PBE).

```
10
Lattice="9.5948 0.0000 0.0000 4.7974 8.3093 0.0000 4.7974 2.7698 4.1819" Properties=species:S:1:pos:R:3 pbc="T T T"
Pr 0.0000 0.0000 0.0000
Pr 9.5948 5.5395 2.0910
Pm 12.7948 5.5426 3.1365
Pm 11.1921 8.3124 1.0455
Pm 6.3947 5.5364 1.0455
In 14.3921 8.3093 3.1365
In 4.7974 2.7698 1.0455
Pm 11.1975 2.7698 1.0455
Pm 7.9974 2.7667 3.1365
Pm 7.9920 8.3093 3.1365
```

Results
Total moment   0.00 μB/f.u.
SG   R-3c, No. 167

Relative energies, meV/atom: #one 0; #two 156.

#one
Entry from the Alexandria database: a geometry-optimized PmPr6In3 structure (GGA-PBE).

```
20
Lattice="-4.3529 -6.6569 0.0418 6.5723 -4.3319 -5.4772 1.9614 -1.2241 9.3066" Properties=species:S:1:pos:R:3 pbc="T T T"
Pr 3.4843 -8.0038 3.3430
In 2.6452 -4.7144 2.7191
In -3.4795 -6.5602 2.5522
Pr 0.1267 -2.8228 3.8177
In -0.0690 -4.0636 -1.4257
Pr 0.6156 -6.3751 4.8324
Pr -0.5283 -5.3913 1.5424
Pm 2.5530 -2.4786 6.1683
In 2.6707 -10.5644 5.3121
Pr 1.9618 -2.2742 0.5161
Pr 3.6987 -9.9337 0.0570
Pr -0.3093 -7.3242 -1.7416
In 0.9623 -8.3755 1.1576
Pr -1.2739 -6.6667 8.6198
Pr 5.0643 -6.1433 -4.7449
Pr 4.1347 -5.4323 5.6163
Pr 5.9743 -4.8867 2.3167
Pr 4.5955 -4.2622 -0.9710
Pm 3.0275 -7.5938 -2.3105
In 6.0812 -8.0677 1.3342
```

Results
Total moment   0.00 μB/f.u.
SG   Cmc2_1, No. 36

#two
Entry from the Alexandria database: a geometry-optimized PmPr6In3 structure (GGA-PBE).

```
20
Lattice="5.6347 0.0000 0.0000 0.0000 9.1312 -3.3105 0.0000 -0.2039 12.3856" Properties=species:S:1:pos:R:3 pbc="T T T"
In 1.4087 4.9708 2.8771
Pr 4.2260 3.1975 2.8021
Pr 1.4087 0.6622 10.5962
Pm 1.4087 8.5058 3.9152
Pr 4.2260 8.2651 -1.5211
In 1.4087 3.1770 8.4958
Pr 4.2260 6.5869 3.8183
In 1.4087 6.8335 9.4599
In 4.2260 3.9565 6.1980
Pr 1.4087 7.6141 0.7287
Pm 4.2260 0.4215 5.1600
Pr 1.4087 4.2076 -0.4833
Pr 4.2260 1.3132 8.3464
Pr 1.4087 5.7298 6.2730
Pr 4.2260 4.7197 9.5584
Pr 1.4087 1.2206 1.4781
Pr 1.4087 2.3404 5.2569
In 4.2260 2.0938 -0.3848
In 4.2260 5.7504 0.5793
Pr 4.2260 7.7067 7.5970
```

Results
Total moment   0.00 μB/f.u.
SG   P2_1/m, No. 11

Relative energies, meV/atom: #one 97; #two 0.

#one
Entry from the Alexandria database: a geometry-optimized Pm5Pr4In structure (GGA-PBE).

```
10
Lattice="-4.2403 -4.2817 -0.5649 -0.9051 -4.3012 6.9707 -7.4529 2.8273 2.0907" Properties=species:S:1:pos:R:3 pbc="T T T"
In -0.7870 -0.7947 -0.1049
Pm -2.8261 -2.8537 -0.3765
Pm -1.1620 -3.3022 4.3026
Pm -11.0472 -2.0605 4.2457
Pm -6.0265 -2.2399 0.3426
Pr -9.0319 -4.3171 5.8128
Pm -6.1826 -3.1227 8.2057
Pr -7.3725 -1.3572 3.3457
Pr -4.8902 -4.0596 5.1954
Pr -3.2308 -1.0996 2.7284
```

Results
Total moment   0.00 μB/f.u.
SG   I4mm, No. 107

#two
Entry from the Alexandria database: a geometry-optimized Pm5Pr4In structure (GGA-PBE).

```
10
Lattice="-0.0363 4.2174 0.7130 -0.0323 -0.7132 4.2174 18.3915 0.1308 0.1631" Properties=species:S:1:pos:R:3 pbc="T T T"
Pr 7.3159 0.0520 0.0649
Pm 1.5653 1.7635 2.4794
Pr 14.7853 0.1052 0.1311
Pr 11.0756 0.0788 0.0982
Pr 3.6061 0.0257 0.0320
Pm 12.9919 1.8447 2.5807
Pm 5.3309 1.7902 2.5128
In 0.0000 0.0000 0.0000
Pm 9.1614 1.8175 2.5467
Pm 16.7576 1.8715 2.6141
```

Results
Total moment   0.00 μB/f.u.
SG   P4/mmm, No. 123

Relative energies, meV/atom: #one 79; #two 0.

#one
Entry from the Alexandria database: a geometry-optimized Pm6Pr2In structure (GGA-PBE).

```
9
Lattice="-1.6239 3.0651 0.1129 -6.6588 -3.7610 6.3265 11.5263 -1.8693 3.2350" Properties=species:S:1:pos:R:3 pbc="T T T"
Pm 6.4110 1.3382 2.2845
Pm 1.9132 -1.2022 6.5577
In 0.0000 0.0000 0.0000
Pm -3.1674 -3.9033 7.3900
Pr 4.9234 -1.4785 4.3031
Pm -2.9612 0.3186 2.0985
Pm -5.3215 -1.0145 4.3409
Pm 1.3303 -1.3629 3.1167
Pr -1.6799 -1.0866 5.3714
```

Results
Total moment   0.00 μB/f.u.
SG   C2/m, No. 12

#two
Entry from the Alexandria database: a geometry-optimized Pm6Pr2In structure (GGA-PBE).

```
18
Lattice="1.1498 -8.1471 4.3492 10.5984 -2.8783 1.0325 2.4094 3.8328 5.0310" Properties=species:S:1:pos:R:3 pbc="T T T"
Pm 8.3112 0.8191 5.7467
Pm 7.1937 -2.5974 6.6668
Pm 8.1479 -6.1826 6.7245
Pr 3.5029 -3.5344 3.3154
Pm 10.5065 -5.6066 4.0644
Pm 2.5492 -0.2078 3.1735
Pm 11.7478 -0.2281 5.9946
Pr 9.4408 -2.0011 3.8632
Pm 2.4098 -6.9644 4.4181
In 4.5957 1.6396 5.3340
Pm 6.9640 -4.5951 3.7459
Pm 6.0097 -1.0099 3.6883
Pm 5.8464 -8.0117 4.6661
In 9.5619 -8.8321 5.0788
Pm 11.6084 -6.9847 7.2393
Pm 3.6511 -1.5859 6.3483
Pr 10.6548 -3.6582 7.0974
Pr 4.7168 -5.1915 6.5495
```

Results
Total moment   0.00 μB/f.u.
SG   P-1, No. 2

Relative energies, meV/atom: #one 79; #two 0.